1.
PmCd3C4O12: optimized geometry, PBE-GGA.

Cell lengths 6.551, 6.551, 6.551 Å; angles 101.15, 101.15, 101.15 degrees
Atoms (fractional coordinates):
Pm1 0.000 0.000 0.000
Cd1 0.518 0.482 0.000
Cd2 0.482 0.000 0.518
Cd3 0.000 0.518 0.482
C1 0.978 0.022 0.500
C2 0.022 0.500 0.978
C3 0.500 0.978 0.022
C4 0.500 0.500 0.500
O1 0.500 0.371 0.629
O2 0.895 0.500 0.105
O3 0.105 0.895 0.500
O4 0.500 0.105 0.895
O5 0.361 0.969 0.142
O6 0.142 0.361 0.969
O7 0.969 0.142 0.361
O8 0.639 0.858 0.031
O9 0.031 0.639 0.858
O10 0.858 0.031 0.639
O11 0.629 0.500 0.371
O12 0.371 0.629 0.500

Calculated volume: 262.8 Å³ per cell
VASP energy: -134.0 eV per formula unit

=====

2.
PrCd3C4O12: optimized geometry, PBE-GGA.

Cell lengths 6.574, 6.574, 6.574 Å; angles 101.12, 101.12, 101.12 degrees
Atoms (fractional coordinates):
Pr1 0.000 0.000 0.000
Cd1 0.522 0.478 0.000
Cd2 0.478 0.000 0.522
Cd3 0.000 0.522 0.478
C1 0.974 0.026 0.500
C2 0.026 0.500 0.974
C3 0.500 0.974 0.026
C4 0.500 0.500 0.500
O1 0.500 0.372 0.628
O2 0.899 0.500 0.101
O3 0.101 0.899 0.500
O4 0.500 0.101 0.899
O5 0.363 0.967 0.147
O6 0.147 0.363 0.967
O7 0.967 0.147 0.363
O8 0.637 0.853 0.033
O9 0.033 0.637 0.853
O10 0.853 0.033 0.637
O11 0.628 0.500 0.372
O12 0.372 0.628 0.500

Calculated volume: 265.7 Å³ per cell
VASP energy: -134.0 eV per formula unit

=====

3.
Rb2CdCO4: optimized geometry, PBE-GGA.

Cell lengths 5.296, 6.188, 11.280 Å; angles 84.23, 76.42, 64.66 degrees
Atoms (fractional coordinates):
Rb1 0.179 0.000 0.641
Rb2 0.821 0.000 0.359
Rb3 0.571 0.500 0.859
Rb4 0.929 0.500 0.141
Cd1 0.750 0.500 0.500
Cd2 0.000 0.000 0.000
C1 0.250 0.500 0.500
C2 0.500 0.000 0.000
O1 0.382 0.850 0.074
O2 0.307 0.150 0.926
O3 0.768 0.850 0.926
O4 0.543 0.150 0.074
O5 0.368 0.650 0.426
O6 0.443 0.350 0.574
O7 0.982 0.650 0.574
O8 0.207 0.350 0.426

Calculated volume: 324.8 Å³ per cell
VASP energy: -41.4 eV per formula unit

=====

4.
RbCd3C4O12: optimized geometry, PBE-GGA.

Cell lengths 6.630, 6.630, 6.630 Å; angles 100.90, 100.90, 100.90 degrees
Atoms (fractional coordinates):
Rb1 0.000 0.000 0.000
Cd1 0.533 0.467 0.000
Cd2 0.467 0.000 0.533
Cd3 0.000 0.533 0.467
C1 0.970 0.030 0.500
C2 0.030 0.500 0.970
C3 0.500 0.970 0.030
C4 0.500 0.500 0.500
O1 0.500 0.373 0.627
O2 0.901 0.500 0.099
O3 0.099 0.901 0.500
O4 0.500 0.099 0.901
O5 0.418 0.011 0.189
O6 0.189 0.418 0.011
O7 0.011 0.189 0.418
O8 0.582 0.811 0.989
O9 0.989 0.582 0.811
O10 0.811 0.989 0.582
O11 0.627 0.500 0.373
O12 0.373 0.627 0.500

Calculated volume: 273.2 Å³ per cell
VASP energy: -126.7 eV per formula unit

=====

5.
Rb2CdC2O6: optimized geometry, PBE-GGA.

Cell lengths 5.470, 5.480, 7.162 Å; angles 112.28, 90.00, 119.94 degrees
Atoms (fractional coordinates):
Rb1 0.710 0.419 0.131
Rb2 0.290 0.581 0.869
Cd1 0.500 0.000 0.500
C1 0.907 0.813 0.715
C2 0.093 0.187 0.285
O1 0.770 0.540 0.717
O2 0.228 0.044 0.278
O3 0.184 0.956 0.722
O4 0.772 0.956 0.722
O5 0.816 0.044 0.278
O6 0.230 0.460 0.283

Calculated volume: 167.3 Å³ per cell
VASP energy: -68.0 eV per formula unit

=====

6.
CdRu2CO: optimized geometry, PBE-GGA.

Cell lengths 4.050, 4.116, 4.050 Å; angles 90.00, 90.00, 90.00 degrees
Atoms (fractional coordinates):
Ru1 0.000 0.000 0.500
Ru2 0.500 0.000 0.000
C1 0.000 0.500 0.000
O1 0.000 0.000 0.000
Cd1 0.500 0.500 0.500

Calculated volume: 67.5 Å³ per cell
VASP energy: -27.4 eV per formula unit

=====

7.
CdSi2CO: optimized geometry, PBE-GGA.

Cell lengths 5.068, 4.025, 5.068 Å; angles 90.00, 90.00, 90.00 degrees
Atoms (fractional coordinates):
Si1 0.000 0.000 0.500
Si2 0.500 0.000 0.000
C1 0.500 0.500 0.500
O1 0.000 0.500 0.000
Cd1 0.000 0.000 0.000

Calculated volume: 103.4 Å³ per cell
VASP energy: -15.4 eV per formula unit

=====

8.
SrCd3C4O12: optimized geometry, PBE-GGA.

Cell lengths 6.551, 6.551, 6.551 Å; angles 102.14, 102.14, 102.14 degrees
Atoms (fractional coordinates):
Sr1 0.000 0.000 0.000
Cd1 0.527 0.473 0.000
Cd2 0.473 0.000 0.527
Cd3 0.000 0.527 0.473
C1 0.969 0.031 0.500
C2 0.031 0.500 0.969
C3 0.500 0.969 0.031
C4 0.500 0.500 0.500
O1 0.500 0.373 0.627
O2 0.904 0.500 0.096
O3 0.096 0.904 0.500
O4 0.500 0.096 0.904
O5 0.381 0.981 0.167
O6 0.167 0.381 0.981
O7 0.981 0.167 0.381
O8 0.619 0.833 0.019
O9 0.019 0.619 0.833
O10 0.833 0.019 0.619
O11 0.627 0.500 0.373
O12 0.373 0.627 0.500

Calculated volume: 259.1 Å³ per cell
VASP energy: -132.0 eV per formula unit